Material: Be5Tc4
Method: DFT, PBE
State: optimized geometry

Cell lengths 7.0381, 7.0381, 4.6996 Å; angles 90.00, 90.00, 120.00 degrees
With the nearest neighbours (Å) after each atom.
Space group P6_3/mcm (No. 193)
Inequivalent atoms, fractional coordinates:
1 Be 0.0000 0.3167 0.2500 x6  7 Tc 2.32-2.52
2 Be 0.3333 0.6667 0.0000 x4  2 Be 2.35, 6 Tc 2.56
3 Tc 0.0000 0.0000 0.0000 x2  2 Tc 2.35, 6 Be 2.52
4 Tc 0.0000 0.3540 0.7500 x6  9 Be 2.32-2.56

- Electronic total energy: -6.66 eV/atom
- ΔH_f (0 K): 0.0192 eV/atom
- Calculated volume: 11.20 Å³/atom